No. 1
DFT (PBE-GGA) results for a relaxed Ac6TlNi4 crystal. Values from VASP.

Computed properties:
Its total magnetization is 0.000 μB per atom. Its crystal system is orthorhombic. Its energy of formation from the pure elements is -0.220 eV per atom.

Geometry as Quantum ESPRESSO input:
```
&SYSTEM
  ibrav = 0, nat = 22, ntyp = 3
/
ATOMIC_SPECIES
Ac 227.00 Ac.upf
Tl 204.38 Tl.upf
Ni 58.69 Ni.upf
CELL_PARAMETERS angstrom
2.133 -7.278 0.000
2.133 7.278 0.000
0.000 0.000 22.112
ATOMIC_POSITIONS angstrom
Ac 0.000 0.000 0.000
Ac 0.000 0.000 11.056
Ac 2.133 4.995 16.584
Ac 2.133 3.372 1.830
Ac 2.133 3.372 9.226
Ac 2.133 0.525 14.435
Ac 2.133 0.525 18.733
Ac 2.133 -0.525 3.379
Ac 2.133 -0.525 7.677
Ac 2.133 -3.372 12.886
Ac 2.133 -3.372 20.282
Ac 2.133 -4.995 5.528
Tl 2.133 4.968 5.528
Tl 2.133 -4.968 16.584
Ni 2.133 5.869 13.756
Ni 2.133 5.869 19.412
Ni 2.133 1.984 11.935
Ni 2.133 1.984 21.233
Ni 2.133 -1.984 0.879
Ni 2.133 -1.984 10.177
Ni 2.133 -5.869 2.700
Ni 2.133 -5.869 8.356
```

=====

No. 2
DFT (PBE-GGA) results for a relaxed Li2ZrTc crystal. Values from VASP.

Computed properties:
Its total magnetization is 0.000 μB per atom. Its crystal system is orthorhombic. Its energy of formation from the pure elements is 0.145 eV per atom. Its distance to the lowest polymorph of the same formula is 0.001 eV per atom.

Geometry as Quantum ESPRESSO input:
```
&SYSTEM
  ibrav = 0, nat = 4, ntyp = 3
/
ATOMIC_SPECIES
Li 6.94 Li.upf
Zr 91.22 Zr.upf
Tc 98.00 Tc.upf
CELL_PARAMETERS angstrom
1.648 -2.431 0.000
1.648 2.431 0.000
0.000 0.000 9.335
ATOMIC_POSITIONS angstrom
Li 0.000 0.000 0.000
Li 1.648 0.000 2.509
Zr 1.648 0.000 6.650
Tc 0.000 0.000 4.627
```

=====

No. 3
DFT (PBE-GGA) results for a relaxed MgTc2Os crystal. Values from VASP.

Computed properties:
Its total magnetization is 0.000 μB per atom. Its crystal system is orthorhombic. Its energy of formation from the pure elements is 0.223 eV per atom.

Geometry as Quantum ESPRESSO input:
```
&SYSTEM
  ibrav = 0, nat = 4, ntyp = 3
/
ATOMIC_SPECIES
Mg 24.30 Mg.upf
Tc 98.00 Tc.upf
Os 190.23 Os.upf
CELL_PARAMETERS angstrom
2.761 0.000 0.000
0.000 4.082 0.000
0.000 0.000 5.282
ATOMIC_POSITIONS angstrom
Mg 0.000 0.000 0.000
Tc 1.380 2.041 1.314
Tc 1.380 2.041 3.967
Os 0.000 0.000 2.641
```

=====

Computed values of DOS(E_F) (unit: states/eV/cell) for the preceding records, in sequence: 14.52 3.31 3.77.